The following is a PBE calculation of an optimized crystal structure of TmCd2Au5, from the Alexandria database.

POSCAR file:
```
TmCd2Au5
1.0
4.557 0.000 0.000
0.000 4.557 0.000
0.000 0.000 15.166
Tm Cd Au
2 4 10
Direct
0.000 0.000 0.000
0.500 0.500 0.500
0.000 0.000 0.252
0.000 0.000 0.748
0.500 0.500 0.248
0.500 0.500 0.752
0.000 0.000 0.500
0.000 0.500 0.126
0.000 0.500 0.374
0.000 0.500 0.626
0.000 0.500 0.874
0.500 0.000 0.126
0.500 0.000 0.374
0.500 0.000 0.626
0.500 0.000 0.874
0.500 0.500 0.000
```

Summary:
SG	I4/mmm (139)
formation energy	-0.40	eV per atom

The following is a PBE calculation of an optimized crystal structure of CeNpAsP, from the Alexandria database.

POSCAR file:
```
CeNpAsP
1.0
4.002 0.000 0.000
-2.001 3.466 0.000
0.000 0.000 21.465
Ce Np As P
3 3 3 3
Direct
0.000 0.000 0.000
0.333 0.667 0.667
0.667 0.333 0.333
0.000 0.000 0.836
0.333 0.667 0.503
0.667 0.333 0.169
0.000 0.000 0.418
0.333 0.667 0.084
0.667 0.333 0.751
0.000 0.000 0.583
0.333 0.667 0.250
0.667 0.333 0.917
```

Summary:
SG	R3m (160)
formation energy	-0.93	eV per atom

The following is a PBE calculation of an optimized crystal structure of Sc3Pb5, from the Alexandria database.

POSCAR file:
```
Sc3Pb5
1.0
9.070 0.000 0.000
0.000 10.237 0.000
0.000 0.000 4.505
Sc Pb
6 10
Direct
0.000 0.000 0.000
0.000 0.278 0.500
0.000 0.722 0.500
0.500 0.222 0.500
0.500 0.500 0.000
0.500 0.778 0.500
0.000 0.500 0.000
0.221 0.000 0.500
0.250 0.250 0.000
0.250 0.750 0.000
0.279 0.500 0.500
0.500 0.000 0.000
0.721 0.500 0.500
0.750 0.250 0.000
0.750 0.750 0.000
0.779 0.000 0.500
```

Summary:
SG	Cmmm (65)
offset from the most stable computed form	0.000	eV/atom
formation energy	-0.22	eV per atom

The following is a PBE calculation of an optimized crystal structure of Tb2Sm3Dy3, from the Alexandria database.

POSCAR file:
```
Tb2Sm3Dy3
1.0
5.722 0.000 0.000
0.000 14.578 0.000
-0.006 0.000 6.297
Tb Sm Dy
4 6 6
Direct
0.250 0.125 0.167
0.250 0.375 0.167
0.750 0.625 0.833
0.750 0.875 0.833
0.250 0.250 0.666
0.250 0.624 0.167
0.250 0.876 0.167
0.750 0.124 0.833
0.750 0.376 0.833
0.750 0.750 0.334
0.250 0.000 0.666
0.250 0.500 0.666
0.250 0.750 0.668
0.750 0.000 0.334
0.750 0.250 0.332
0.750 0.500 0.334
```

Summary:
SG	P2_1/m (11)
offset from the most stable computed form	0.003	eV/atom
formation energy	0.02	eV per atom

The following is a PBE calculation of an optimized crystal structure of Pa2SnPd4, from the Alexandria database.

POSCAR file:
```
Pa2SnPd4
1.0
5.389 0.000 0.000
0.000 11.320 0.000
0.000 0.000 5.306
Pa Sn Pd
4 2 8
Direct
0.000 0.138 0.000
0.000 0.862 0.000
0.500 0.362 0.000
0.500 0.638 0.000
0.000 0.500 0.500
0.500 0.000 0.500
0.000 0.119 0.500
0.000 0.383 0.000
0.000 0.617 0.000
0.000 0.881 0.500
0.500 0.117 0.000
0.500 0.381 0.500
0.500 0.619 0.500
0.500 0.883 0.000
```

Summary:
SG	Cmmm (65)
formation energy	0.00	eV per atom

The following is a PBE calculation of an optimized crystal structure of Na2LaGa2, from the Alexandria database.

POSCAR file:
```
Na2LaGa2
1.0
4.432 0.000 0.000
0.000 4.432 0.000
0.000 0.000 13.655
Na La Ga
4 2 4
Direct
0.000 0.500 0.250
0.000 0.500 0.750
0.500 0.000 0.250
0.500 0.000 0.750
0.000 0.000 0.000
0.500 0.500 0.500
0.000 0.000 0.410
0.000 0.000 0.590
0.500 0.500 0.090
0.500 0.500 0.910
```

Summary:
SG	I4/mmm (139)
offset from the most stable computed form	0.000	eV/atom
formation energy	-0.17	eV per atom

The following is a PBE calculation of an optimized crystal structure of Ta2Mn3Al2, from the Alexandria database.

POSCAR file:
```
Ta2Mn3Al2
1.0
7.418 0.000 0.000
0.000 4.291 0.000
-2.471 0.000 6.686
Ta Mn Al
4 6 4
Direct
0.118 0.000 0.354
0.382 0.500 0.646
0.618 0.500 0.354
0.882 0.000 0.646
0.000 0.500 0.500
0.244 0.000 0.732
0.256 0.500 0.268
0.500 0.000 0.500
0.744 0.500 0.732
0.756 0.000 0.268
0.130 0.500 0.891
0.370 0.000 0.109
0.630 0.000 0.891
0.870 0.500 0.109
```

Summary:
SG	C2/m (12)
formation energy	-0.07	eV per atom

The following is a PBE calculation of an optimized crystal structure of TbNd5Ho2Er, from the Alexandria database.

POSCAR file:
```
TbNd5Ho2Er
1.0
2.822 -10.206 0.000
2.822 10.206 0.000
0.000 0.000 10.714
Tb Nd Ho Er
2 10 4 2
Direct
0.199 0.801 0.500
0.801 0.199 0.000
0.016 0.984 0.507
0.280 0.720 0.801
0.297 0.703 0.196
0.386 0.614 0.511
0.483 0.517 0.233
0.517 0.483 0.733
0.614 0.386 0.011
0.703 0.297 0.696
0.720 0.280 0.301
0.984 0.016 0.007
0.112 0.888 0.228
0.114 0.886 0.799
0.886 0.114 0.299
0.888 0.112 0.728
0.408 0.592 0.952
0.592 0.408 0.452
```

Summary:
SG	Cmc2_1 (36)
formation energy	0.14	eV per atom

The following is a PBE calculation of an optimized crystal structure of Li2SbPt, from the Alexandria database.

POSCAR file:
```
Li2SbPt
1.0
2.994 0.000 0.000
0.000 2.994 0.000
0.000 0.000 7.735
Li Sb Pt
2 1 1
Direct
0.000 0.000 0.209
0.000 0.000 0.791
0.500 0.500 0.500
0.500 0.500 0.000
```

Summary:
SG	P4/mmm (123)
formation energy from raw total energies	-0.40	eV/atom

The following is a PBE calculation of an optimized crystal structure of Na2NdHg4, from the Alexandria database.

POSCAR file:
```
Na2NdHg4
1.0
2.627 1.517 8.615
-2.627 1.517 8.615
0.000 -3.034 8.615
Na Nd Hg
2 1 4
Direct
0.245 0.245 0.245
0.755 0.755 0.755
0.000 0.000 0.000
0.124 0.124 0.124
0.373 0.373 0.373
0.627 0.627 0.627
0.876 0.876 0.876
```

Summary:
SG	R-3m (166)
formation energy	-0.22	eV per atom

The following is a PBE calculation of an optimized crystal structure of CsNi2Ag, from the Alexandria database.

POSCAR file:
```
CsNi2Ag
1.0
6.772 0.000 0.000
0.000 6.772 0.000
0.000 0.000 6.772
Cs Ni Ag
4 8 4
Direct
0.000 0.000 0.000
0.000 0.500 0.500
0.500 0.000 0.500
0.500 0.500 0.000
0.250 0.250 0.250
0.250 0.250 0.750
0.250 0.750 0.250
0.250 0.750 0.750
0.750 0.250 0.250
0.750 0.250 0.750
0.750 0.750 0.250
0.750 0.750 0.750
0.000 0.000 0.500
0.000 0.500 0.000
0.500 0.000 0.000
0.500 0.500 0.500
```

Summary:
SG	Fm-3m (225)
formation energy	1.11	eV per atom

The following is a PBE calculation of an optimized crystal structure of HoTm2Se, from the Alexandria database.

POSCAR file:
```
HoTm2Se
1.0
3.731 0.000 0.000
-1.865 3.231 0.000
0.000 0.000 27.923
Ho Tm Se
3 6 3
Direct
0.000 0.000 0.000
0.333 0.667 0.667
0.667 0.333 0.333
0.000 0.000 0.567
0.000 0.000 0.767
0.333 0.667 0.234
0.333 0.667 0.434
0.667 0.333 0.101
0.667 0.333 0.901
0.000 0.000 0.167
0.333 0.667 0.834
0.667 0.333 0.500
```

Summary:
SG	R3m (160)
offset from the most stable computed form	0.000	eV/atom
formation energy from raw total energies	-0.79	eV/atom

M_tot per entry: 0.00; 1.24; 0.00; 0.00; 0.00; 0.00; 0.49; 0.00; 0.00; 0.00; 0.00; 0.06 μB per atom